Entry P
# NdSmDy3

Crystalline NdSmDy3 at its relaxed geometry (PBE-GGA, the Alexandria database).

```
NdSmDy3
1.0
-3.959 3.291 4.015
-9.192 -5.020 -5.108
5.088 -3.338 2.433
Dy Sm Nd
6 2 2
Cartesian
-7.790 -3.657 -2.513
-0.273 -1.410 3.854
1.215 -2.787 1.187
-2.275 -3.313 0.362
-5.789 -1.754 0.979
-9.279 -2.280 0.154
-2.635 0.006 1.827
-5.429 -5.073 -0.487
0.000 0.000 0.000
-4.596 -2.510 -2.554
```

---

Entry Q
# NdSmDy3

Crystalline NdSmDy3 at its relaxed geometry (PBE-GGA, the Alexandria database).

```
NdSmDy3
1.0
-3.587 0.316 -0.504
0.609 -0.246 8.587
0.987 11.618 0.263
Nd Dy Sm
2 6 2
Cartesian
-1.194 8.715 7.388
-0.797 2.973 0.958
-0.390 8.774 1.755
-2.416 6.053 1.323
-1.601 2.914 6.591
0.425 5.634 7.022
-0.064 -0.126 6.892
-1.927 11.814 1.454
1.019 8.587 4.750
-3.010 3.101 3.596
```

---

Stability ranking, top entry: entry P; the second entry is 13.5 kJ/mol of atoms less favorable.

---

Entry P
# Nd2Sm4Dy3

Crystalline Nd2Sm4Dy3 at its relaxed geometry (PBE-GGA, the Alexandria database).

```
Nd2Sm4Dy3
1.0
3.628 0.000 0.000
-1.814 3.142 0.000
0.000 0.000 26.784
Sm Nd Dy
4 2 3
Cartesian
0.000 0.000 20.346
1.814 1.047 5.908
0.000 0.000 14.575
1.814 1.047 11.627
1.814 1.047 23.343
1.814 1.047 2.353
0.000 0.000 8.714
1.814 1.047 17.465
0.000 0.000 26.297
```

---

Entry Q
# Nd2Sm4Dy3

Crystalline Nd2Sm4Dy3 at its relaxed geometry (PBE-GGA, the Alexandria database).

```
Nd2Sm4Dy3
1.0
0.224 -0.889 -3.427
5.800 -6.205 1.988
-8.461 -4.893 2.553
Dy Sm Nd
3 4 2
Cartesian
-2.761 -8.615 0.218
0.000 0.000 0.000
0.324 -3.372 0.896
3.273 -5.209 -0.271
-5.710 -6.778 1.385
0.202 -6.819 -0.054
-2.640 -5.168 1.168
-2.431 -2.495 -1.348
-0.006 -9.492 2.461
```

---

Stability ranking, top entry: entry P; the second entry is 2.6 kJ/mol of atoms less favorable.

---

Entry P
# NdSm2Dy2

Crystalline NdSm2Dy2 at its relaxed geometry (PBE-GGA, the Alexandria database).

```
NdSm2Dy2
1.0
9.009 0.348 0.455
-1.532 8.885 0.455
-2.881 -3.557 3.987
Dy Sm Nd
4 4 2
Cartesian
3.359 0.506 3.445
1.238 5.170 1.452
6.172 1.173 1.452
-1.575 4.503 3.445
0.102 1.677 2.381
4.495 3.999 2.516
1.537 3.449 4.509
3.060 2.227 0.388
6.128 -1.736 3.445
-1.531 7.412 1.452
```

---

Entry Q
# NdSm2Dy2

Crystalline NdSm2Dy2 at its relaxed geometry (PBE-GGA, the Alexandria database).

```
NdSm2Dy2
1.0
3.794 0.000 0.000
-1.897 6.611 0.000
0.000 0.000 13.438
Sm Dy Nd
4 4 2
Cartesian
1.897 6.609 2.626
1.897 3.133 3.995
0.000 0.002 9.345
0.000 3.478 10.714
1.897 3.099 8.027
0.000 1.306 6.007
0.000 3.513 1.308
1.897 5.305 12.726
1.897 1.392 12.743
0.000 5.219 6.024
```

---

Stability ranking, top entry: entry Q; the second entry is 14.9 kJ/mol of atoms less favorable.

---

Entry P
# Nd2SmDy3

Crystalline Nd2SmDy3 at its relaxed geometry (PBE-GGA, the Alexandria database).

```
Nd2SmDy3
1.0
-2.854 -4.479 -1.804
7.933 0.161 -4.231
-1.028 -3.200 9.573
Dy Nd Sm
6 4 2
Cartesian
0.243 -1.478 3.286
0.816 -4.450 1.038
-0.641 -4.804 4.224
3.235 -3.068 2.500
4.692 -2.714 -0.686
3.808 -6.040 0.251
-2.149 -5.048 7.215
6.199 -2.470 -3.678
1.988 -3.787 -2.463
2.063 -3.731 6.000
2.450 -6.512 3.574
1.601 -1.006 -0.036
```

---

Entry Q
# Nd2SmDy3

Crystalline Nd2SmDy3 at its relaxed geometry (PBE-GGA, the Alexandria database).

```
Nd2SmDy3
1.0
0.117 7.856 -4.460
-4.262 3.339 3.944
5.533 2.539 2.793
Dy Nd Sm
6 4 2
Cartesian
-0.443 5.464 -0.458
1.473 4.837 2.158
1.832 8.270 2.735
1.135 1.402 1.579
0.254 12.332 0.697
-0.084 8.897 0.118
2.983 6.925 -0.544
3.327 10.340 0.019
-1.939 3.394 2.257
-1.594 6.809 2.820
-3.347 9.164 0.501
4.736 4.571 1.775
```

---

Stability ranking, top entry: entry Q; the second entry is 3.1 kJ/mol of atoms less favorable.